Entry 1:
First-principles (PBE-GGA) data for a relaxed Nd2ErHf crystal, as listed in Alexandria.

```
Nd2ErHf
1.0
4.8466 0.0000 0.0000
0.0000 4.9590 0.0000
0.0000 0.0000 4.9590
Nd Hf Er
2 1 1
Direct
0.0000 0.0000 0.5000
0.0000 0.5000 0.0000
0.5000 0.0000 0.0000
0.5000 0.5000 0.5000
```

Calculated values
Energy relative to the lowest polymorph listed for this composition, eV/atom: 0.0033
E_form, eV per formula unit: 0.69
Calculated volume, Å³/f.u.: 119


Entry 2:
First-principles (PBE-GGA) data for a relaxed Nd2ErHfP4 crystal, as listed in Alexandria.

```
Nd2ErHfP4
1.0
3.9788 0.0000 0.0000
0.0000 6.8973 0.1300
0.0000 -2.4008 6.4951
Nd Er Hf P
2 1 1 4
Direct
0.5000 0.0000 0.5000
0.0000 0.5000 0.5000
0.5000 0.5000 0.0000
0.0000 0.0000 0.0000
0.5000 0.2335 0.2254
0.5000 0.7665 0.7746
0.0000 0.2472 0.7695
0.0000 0.7528 0.2305
```

Calculated values
E_form, eV per formula unit: -11.90
Calculated volume, Å³/f.u.: 179


Entry 3:
First-principles (PBE-GGA) data for a relaxed Nd2ErHfSb4 crystal, as listed in Alexandria.

```
Nd2ErHfSb4
1.0
-2.2655 -0.7898 -3.6450
-1.1264 -7.1284 2.2447
-5.6378 4.3512 2.5611
Nd Er Hf Sb
2 1 1 4
Direct
0.5000 0.0000 0.5000
0.0000 0.5000 0.5000
0.5000 0.5000 0.0000
0.0000 0.0000 0.0000
0.5000 0.2351 0.2275
0.5000 0.7649 0.7725
0.0000 0.2480 0.7675
0.0000 0.7520 0.2325
```

Calculated values
Formation energy without anion corrections, meV/atom: -963.7
Calculated volume, Å³/f.u.: 236


Entry 4:
First-principles (PBE-GGA) data for a relaxed NdErHfTh crystal, as listed in Alexandria.

```
NdErHfTh
1.0
5.4927 0.0000 0.0000
2.7464 4.7568 0.0000
2.7464 1.5856 4.4848
Nd Hf Th Er
1 1 1 1
Direct
0.0000 0.0000 0.0000
0.2500 0.2500 0.2500
0.5000 0.5000 0.5000
0.7500 0.7500 0.7500
```

Calculated values
E_form, eV per formula unit: 0.82
Calculated volume, Å³/f.u.: 117


Entry 5:
First-principles (PBE-GGA) data for a relaxed NdErTmHf crystal, as listed in Alexandria.

```
NdErTmHf
1.0
-2.0423 -2.7074 4.2921
3.1424 -3.5303 2.7542
1.6931 1.2149 5.0577
Nd Tm Hf Er
1 1 1 1
Direct
0.7500 0.7500 0.7500
0.5000 0.5000 0.5000
0.2500 0.2500 0.2500
0.0000 0.0000 0.0000
```

Calculated values
E_form, eV per formula unit: 1.14
Calculated volume, Å³/f.u.: 116


Entry 6:
First-principles (PBE-GGA) data for a relaxed ErHf2Ni crystal, as listed in Alexandria.

```
ErHf2Ni
1.0
-1.8204 -2.6709 -0.3882
2.4128 -1.8203 1.2097
-2.8908 0.9291 7.1642
Ni Hf Er
1 2 1
Direct
0.5000 0.5000 0.0000
0.0000 0.0000 0.8025
0.0000 0.0000 0.1975
0.5000 0.5000 0.5000
```

Calculated values
E_form, eV per formula unit: -0.32
Calculated volume, Å³/f.u.: 82


Entry 7:
First-principles (PBE-GGA) data for a relaxed ErHf2Ni9 crystal, as listed in Alexandria.

```
ErHf2Ni9
1.0
4.8665 0.0000 0.0000
2.4332 4.2145 0.0000
2.4332 1.4048 7.9129
Er Hf Ni
1 2 9
Direct
0.0000 0.0000 0.0000
0.8603 0.8603 0.4192
0.1397 0.1397 0.5808
0.6662 0.6662 0.0013
0.3338 0.3338 0.9987
0.5000 0.5000 0.5000
0.4120 0.4120 0.2567
0.9193 0.4120 0.2567
0.4120 0.9193 0.2567
0.5880 0.5880 0.7433
0.5880 0.0807 0.7433
0.0807 0.5880 0.7433
```

Calculated values
E_form, eV per formula unit: -5.55
Calculated volume, Å³/f.u.: 162


Entry 8:
First-principles (PBE-GGA) data for a relaxed Er2HfNi crystal, as listed in Alexandria.

```
Er2HfNi
1.0
-2.5212 0.8771 2.0499
-1.5779 -2.8881 -0.7049
3.6728 -3.4715 6.0026
Ni Hf Er
1 1 2
Direct
0.5000 0.5000 0.0000
0.5000 0.5000 0.5000
0.0000 0.0000 0.7911
0.0000 0.0000 0.2089
```

Calculated values
Energy relative to the lowest polymorph listed for this composition, eV/atom: 0.0000
E_form, eV per formula unit: -0.49
Calculated volume, Å³/f.u.: 89


Entry 9:
First-principles (PBE-GGA) data for a relaxed ErHfNi crystal, as listed in Alexandria.

```
ErHfNi
1.0
-2.4948 2.0320 -0.6568
-1.7654 -1.3943 2.3924
4.2143 3.4466 2.8647
Ni Hf Er
1 1 1
Direct
0.6863 0.6863 0.3725
0.3000 0.3000 0.6000
0.0137 0.0137 0.0275
```

Calculated values
Energy relative to the lowest polymorph listed for this composition, eV/atom: 0.0000
E_form, eV per formula unit: -0.61
Calculated volume, Å³/f.u.: 61


Entry 10:
First-principles (PBE-GGA) data for a relaxed Er2HfNi crystal, as listed in Alexandria.

```
Er2HfNi
1.0
3.3049 0.0000 0.0000
1.6525 2.8621 0.0000
1.6525 0.9540 10.1602
Ni Hf Er
1 1 2
Direct
0.5000 0.5000 0.5000
0.0000 0.0000 0.0000
0.1045 0.1045 0.6864
0.8955 0.8955 0.3136
```

Calculated values
Energy relative to the lowest polymorph listed for this composition, eV/atom: 0.3919
E_form, eV per formula unit: 1.08
Calculated volume, Å³/f.u.: 96


Entry 11:
First-principles (PBE-GGA) data for a relaxed ErHfNi crystal, as listed in Alexandria.

```
ErHfNi
1.0
-1.2190 -2.5353 -3.2895
-0.4745 -4.2587 0.6105
-8.6800 -1.0621 1.1875
Ni Hf Er
2 2 2
Direct
0.2668 0.2668 0.1997
0.7332 0.7332 0.8003
0.3691 0.3691 0.8928
0.6309 0.6309 0.1072
0.8812 0.8812 0.3563
0.1188 0.1188 0.6437
```

Calculated values
Energy relative to the lowest polymorph listed for this composition, eV/atom: 0.0924
E_form, eV per formula unit: -0.33
Calculated volume, Å³/f.u.: 69


Entry 12:
First-principles (PBE-GGA) data for a relaxed Er2HfNi9 crystal, as listed in Alexandria.

```
Er2HfNi9
1.0
-3.1298 3.7241 -0.0599
-0.0624 -3.2878 -3.5853
-10.6984 -8.8573 8.3085
Er Hf Ni
4 2 18
Direct
0.3333 0.6667 0.5437
0.6667 0.3333 0.0437
0.6667 0.3333 0.4563
0.3333 0.6667 0.9563
0.3333 0.6667 0.7500
0.6667 0.3333 0.2500
0.0000 0.0000 0.0000
0.0000 0.0000 0.5000
0.0000 0.0000 0.2500
0.0000 0.0000 0.7500
0.3333 0.6667 0.2500
0.6667 0.3333 0.7500
0.1670 0.3339 0.1279
0.6661 0.8330 0.1279
0.1670 0.8330 0.1279
0.8330 0.6661 0.6279
0.3339 0.1670 0.6279
0.8330 0.1670 0.6279
0.3339 0.1670 0.8721
0.8330 0.6661 0.8721
0.8330 0.1670 0.8721
0.6661 0.8330 0.3721
0.1670 0.3339 0.3721
0.1670 0.8330 0.3721
```

Calculated values
E_form, eV per formula unit: -4.87
Calculated volume, Å³/f.u.: 166


Entry 13:
First-principles (PBE-GGA) data for a relaxed ErHfNiOs crystal, as listed in Alexandria.

```
ErHfNiOs
1.0
4.6551 0.0000 0.0000
2.3275 4.0314 0.0000
2.3275 1.3438 3.8008
Ni Hf Os Er
1 1 1 1
Direct
0.2500 0.2500 0.2500
0.0000 0.0000 0.0000
0.7500 0.7500 0.7500
0.5000 0.5000 0.5000
```

Calculated values
E_form, eV per formula unit: -1.77
Calculated volume, Å³/f.u.: 71


Entry 14:
First-principles (PBE-GGA) data for a relaxed ErHfNiPd crystal, as listed in Alexandria.

```
ErHfNiPd
1.0
4.7184 0.0000 0.0000
2.3592 4.0863 0.0000
2.3592 1.3621 3.8526
Ni Hf Pd Er
1 1 1 1
Direct
0.2500 0.2500 0.2500
0.5000 0.5000 0.5000
0.7500 0.7500 0.7500
0.0000 0.0000 0.0000
```

Calculated values
E_form, eV per formula unit: -2.11
Calculated volume, Å³/f.u.: 74


Entry 15:
First-principles (PBE-GGA) data for a relaxed ErHfReNi crystal, as listed in Alexandria.

```
ErHfReNi
1.0
4.6682 0.0000 0.0000
2.3341 4.0428 0.0000
2.3341 1.3476 3.8116
Ni Re Hf Er
1 1 1 1
Direct
0.2500 0.2500 0.2500
0.7500 0.7500 0.7500
0.0000 0.0000 0.0000
0.5000 0.5000 0.5000
```

Calculated values
E_form, eV per formula unit: -0.90
Calculated volume, Å³/f.u.: 72


Entry 16:
First-principles (PBE-GGA) data for a relaxed ErHfTcNi crystal, as listed in Alexandria.

```
ErHfTcNi
1.0
-3.8407 0.6475 -2.5501
0.2398 -0.1435 -4.6471
-1.8838 -3.5704 -2.3189
Ni Hf Tc Er
1 1 1 1
Direct
0.2500 0.2500 0.2500
0.5000 0.5000 0.5000
0.7500 0.7500 0.7500
0.0000 0.0000 0.0000
```

Calculated values
E_form, eV per formula unit: -1.32
Calculated volume, Å³/f.u.: 71


Entry 17:
First-principles (PBE-GGA) data for a relaxed ErHfNp crystal, as listed in Alexandria.

```
ErHfNp
1.0
-3.4038 -0.1891 -0.4993
-0.1320 -4.9045 2.7575
0.5483 4.5390 6.4303
Np Hf Er
2 2 2
Direct
0.7589 0.1473 0.5178
0.2411 0.8527 0.4822
0.5767 0.8430 0.1535
0.4233 0.1570 0.8465
0.9024 0.6519 0.8047
0.0976 0.3481 0.1953
```

Calculated values
E_form, eV per formula unit: 0.69
Calculated volume, Å³/f.u.: 74


Entry 18:
First-principles (PBE-GGA) data for a relaxed ErHfNpO6 crystal, as listed in Alexandria.

```
ErHfNpO6
1.0
5.5824 0.0000 0.0000
-2.7912 4.8345 0.0000
0.0000 0.0000 9.4337
Er Hf Np O
2 2 2 12
Direct
0.0000 0.0000 0.0000
0.0000 0.0000 0.5000
0.3333 0.6667 0.2500
0.6667 0.3333 0.7500
0.6667 0.3333 0.2500
0.3333 0.6667 0.7500
0.6505 0.6576 0.1349
0.0071 0.3495 0.1349
0.3495 0.0071 0.6349
0.9929 0.6505 0.8651
0.3424 0.3495 0.3651
0.0071 0.6576 0.3651
0.6576 0.0071 0.8651
0.6505 0.9929 0.3651
0.9929 0.3424 0.6349
0.3424 0.9929 0.1349
0.6576 0.6505 0.6349
0.3495 0.3424 0.8651
```

Calculated values
Formation energy without anion corrections, meV/atom: -3252.2
Calculated volume, Å³/f.u.: 127


Entry 19:
First-principles (PBE-GGA) data for a relaxed Er2HfO5 crystal, as listed in Alexandria.

```
Er2HfO5
1.0
3.7209 0.0000 0.0000
0.0000 7.5092 0.0000
0.0000 0.0000 15.6500
Er Hf O
8 4 20
Direct
0.7500 0.4102 0.4105
0.7500 0.3636 0.7606
0.2500 0.1364 0.2606
0.2500 0.0898 0.9105
0.7500 0.9102 0.0895
0.7500 0.8636 0.7394
0.2500 0.6364 0.2394
0.2500 0.5898 0.5895
0.7500 0.3726 0.0715
0.2500 0.1274 0.5715
0.7500 0.8726 0.4285
0.2500 0.6274 0.9285
0.2500 0.3981 0.3192
0.2500 0.4067 0.0315
0.2500 0.4105 0.8440
0.2500 0.3604 0.4947
0.7500 0.1917 0.1685
0.2500 0.3083 0.6685
0.7500 0.1396 0.9947
0.7500 0.0895 0.3440
0.7500 0.0933 0.5315
0.7500 0.1019 0.8192
0.2500 0.8981 0.1808
0.2500 0.9067 0.4685
0.2500 0.9105 0.6560
0.2500 0.8604 0.0053
0.7500 0.6917 0.3315
0.2500 0.8083 0.8315
0.7500 0.6396 0.5053
0.7500 0.5895 0.1560
0.7500 0.5933 0.9685
0.7500 0.6019 0.6808
```

Calculated values
Formation energy without anion corrections, meV/atom: -3589.4
Calculated volume, Å³/f.u.: 109


Entry 20:
First-principles (PBE-GGA) data for a relaxed Er3HfO crystal, as listed in Alexandria.

```
Er3HfO
1.0
-1.7651 4.2546 1.2392
0.6100 -1.0880 4.6040
4.3892 1.8621 -0.1415
Hf O Er
1 1 3
Direct
0.5000 0.5000 0.5000
0.0000 0.0000 0.0000
0.0000 0.5000 0.0000
0.0000 0.0000 0.5000
0.5000 0.0000 0.0000
```

Calculated values
Formation energy without anion corrections, meV/atom: -1067.6
Calculated volume, Å³/f.u.: 109